VASP calculation (SCAN) on a crystal of Y6Mn14Fe9 relaxed with PBEsol.

* crystal system: cubic
* volume: 13.65 Å³ per atom
* space group: Fm-3m
* calculated formation energy: -0.0021 eV/atom

a b c (Å): 8.241 8.241 8.241
angles (deg): 60.00 60.00 60.00
Positions (direct):
Mn (0.000, 0.000, 0.500)
Mn (0.878, 0.878, 0.367)
Mn (0.500, 0.000, 0.000)
Mn (0.122, 0.122, 0.122)
Fe (0.320, 0.320, 0.320)
Fe (0.961, 0.680, 0.680)
Mn (0.500, 0.000, 0.500)
Mn (0.122, 0.633, 0.122)
Fe (0.680, 0.680, 0.961)
Y (0.295, 0.295, 0.705)
Fe (0.680, 0.680, 0.680)
Mn (0.633, 0.122, 0.122)
Fe (0.680, 0.961, 0.680)
Y (0.705, 0.295, 0.705)
Mn (0.500, 0.500, 0.000)
Mn (0.000, 0.500, 0.000)
Fe (0.320, 0.320, 0.039)
Mn (0.878, 0.878, 0.878)
Mn (0.122, 0.122, 0.633)
Y (0.295, 0.705, 0.295)
Fe (0.039, 0.320, 0.320)
Mn (0.878, 0.367, 0.878)
Mn (0.000, 0.500, 0.500)
Fe (0.000, 0.000, 0.000)
Y (0.705, 0.295, 0.295)
Mn (0.367, 0.878, 0.878)
Fe (0.320, 0.039, 0.320)
Y (0.295, 0.705, 0.705)
Y (0.705, 0.705, 0.295)